# 1
# CaLa6Tb2Y

Crystalline CaLa6Tb2Y at its relaxed geometry (GGA-PBE, Alexandria via LeMat-Bulk).

Unit cell a=9.172 b=9.172 c=9.981 alpha=94.30 beta=94.30 gamma=118.93
Element x y z (fractional)
Ca: 0.096 0.904 0.750
Ca: 0.904 0.096 0.250
La: 0.003 0.787 0.376
La: 0.063 0.525 0.179
La: 0.213 0.997 0.124
La: 0.269 0.614 0.552
La: 0.386 0.731 0.948
La: 0.475 0.937 0.321
La: 0.525 0.063 0.679
La: 0.614 0.269 0.052
La: 0.731 0.386 0.448
La: 0.787 0.003 0.876
La: 0.937 0.475 0.821
La: 0.997 0.213 0.624
Tb: 0.205 0.301 0.957
Tb: 0.301 0.205 0.457
Tb: 0.699 0.795 0.543
Tb: 0.795 0.699 0.043
Y: 0.472 0.528 0.250
Y: 0.528 0.472 0.750

Output
**Energy**: -92.16 eV for the cell shown
**Mass density**: 5.8 g/cm³
**V**: 726.88 Å³/cell
**Symmetry**: C2/c (15)
**Size of the total moment**: 0.00 μB/f.u.


# 2
# KGeAsSe3

Crystalline KGeAsSe3 at its relaxed geometry (GGA-PBE, Alexandria via LeMat-Bulk).

Unit cell a=8.574 b=3.917 c=10.832 alpha=90.00 beta=111.05 gamma=90.00
Element x y z (fractional)
K: 0.233 0.250 0.276
K: 0.767 0.750 0.724
Ge: 0.130 0.250 0.558
Ge: 0.870 0.750 0.442
As: 0.367 0.750 0.851
As: 0.633 0.250 0.149
Se: 0.126 0.250 0.788
Se: 0.342 0.750 0.580
Se: 0.398 0.750 0.097
Se: 0.602 0.250 0.903
Se: 0.658 0.250 0.420
Se: 0.874 0.750 0.212

Output
**Mass density**: 4.1 g/cm³
**V**: 339.51 Å³/cell
**Symmetry**: P2_1/m (11)
**Size of the total moment**: 0.00 μB/f.u.
**Energy relative to the elements, uncorrected**: -0.48 eV/atom


# 3
# Tb2Pr2Tm2Mg

Crystalline Tb2Pr2Tm2Mg at its relaxed geometry (GGA-PBE, Alexandria via LeMat-Bulk).

Unit cell a=7.005 b=7.005 c=8.963 alpha=129.75 beta=129.75 gamma=48.56
Element x y z (fractional)
Tb: 0.169 0.169 0.224
Tb: 0.831 0.831 0.776
Pr: 0.151 0.151 0.798
Pr: 0.849 0.849 0.202
Tm: 0.461 0.461 0.792
Tm: 0.539 0.539 0.208
Mg: 0.500 0.500 0.500

Output
**Energy**: -27.67 eV for the cell shown
**Mass density**: 6.8 g/cm³
**V**: 234.96 Å³/cell
**Symmetry**: C2/m (12)
**Size of the total moment**: 0.00 μB/f.u.


# 4
# HoErMnIr

Crystalline HoErMnIr at its relaxed geometry (GGA-PBE, Alexandria via LeMat-Bulk).

Unit cell a=4.876 b=4.876 c=4.876 alpha=60.00 beta=60.00 gamma=60.00
Element x y z (fractional)
Ho: 0.000 0.000 0.000
Er: 0.500 0.500 0.500
Mn: 0.250 0.250 0.250
Ir: 0.750 0.750 0.750

Output
**Energy**: -28.53 eV for the cell shown
**Mass density**: 11.7 g/cm³
**V**: 82.00 Å³/cell
**Symmetry**: F-43m (216)
**Size of the total moment**: 3.28 μB/f.u.


# 5
# SrPrGa2Pt2

Crystalline SrPrGa2Pt2 at its relaxed geometry (GGA-PBE, Alexandria via LeMat-Bulk).

Unit cell a=4.465 b=4.465 c=8.115 alpha=90.00 beta=90.00 gamma=120.00
Element x y z (fractional)
Sr: 0.000 0.000 0.000
Pr: 0.000 0.000 0.500
Ga: 0.333 0.667 0.264
Ga: 0.667 0.333 0.736
Pt: 0.333 0.667 0.724
Pt: 0.667 0.333 0.276

Output
**Energy**: -30.13 eV for the cell shown
**Mass density**: 9.0 g/cm³
**V**: 140.09 Å³/cell
**Symmetry**: P-3m1 (164)
**Size of the total moment**: 0.00 μB/f.u.


# 6
# CaCePb

Crystalline CaCePb at its relaxed geometry (GGA-PBE, Alexandria via LeMat-Bulk).

Unit cell a=13.026 b=13.026 c=13.026 alpha=162.53 beta=162.53 gamma=24.81
Element x y z (fractional)
Ca: 0.075 0.075 0.000
Ca: 0.925 0.925 0.000
Ce: 0.223 0.223 0.000
Ce: 0.777 0.777 0.000
Pb: 0.352 0.352 0.000
Pb: 0.648 0.648 0.000

Output
**Energy**: -24.71 eV for the cell shown
**Mass density**: 6.5 g/cm³
**V**: 199.18 Å³/cell
**Symmetry**: I4/mmm (139)
**Size of the total moment**: 0.72 μB/f.u.


# 7
# Sm3SbPCl

Crystalline Sm3SbPCl at its relaxed geometry (GGA-PBE, Alexandria via LeMat-Bulk).

Unit cell a=8.586 b=4.228 c=9.443 alpha=90.00 beta=102.41 gamma=90.00
Element x y z (fractional)
Sm: 0.072 0.250 0.351
Sm: 0.206 0.250 0.984
Sm: 0.386 0.750 0.634
Sm: 0.614 0.250 0.366
Sm: 0.794 0.750 0.016
Sm: 0.928 0.750 0.649
Sb: 0.321 0.750 0.281
Sb: 0.679 0.250 0.719
P: 0.158 0.250 0.657
P: 0.842 0.750 0.343
Cl: 0.388 0.750 0.922
Cl: 0.612 0.250 0.078

Output
**Mass density**: 6.3 g/cm³
**V**: 334.80 Å³/cell
**Symmetry**: P2_1/m (11)
**Size of the total moment**: 0.59 μB/f.u.
**Energy relative to the elements, uncorrected**: -1.31 eV/atom


# 8
# Pm2PuGa3Ni4

Crystalline Pm2PuGa3Ni4 at its relaxed geometry (GGA-PBE, Alexandria via LeMat-Bulk).

Unit cell a=4.263 b=4.263 c=10.059 alpha=90.00 beta=90.00 gamma=90.00
Element x y z (fractional)
Pm: 0.000 0.500 0.228
Pm: 0.500 0.000 0.772
Pu: 0.000 0.000 0.500
Ga: 0.000 0.500 0.885
Ga: 0.500 0.000 0.115
Ga: 0.500 0.500 0.500
Ni: 0.000 0.000 0.000
Ni: 0.000 0.500 0.648
Ni: 0.500 0.000 0.352
Ni: 0.500 0.500 0.000

Output
**Energy**: -60.48 eV for the cell shown
**Mass density**: 8.9 g/cm³
**V**: 182.81 Å³/cell
**Symmetry**: P-4m2 (115)
**Size of the total moment**: 4.98 μB/f.u.


# 9
# RbGe2Bi2

Crystalline RbGe2Bi2 at its relaxed geometry (GGA-PBE, Alexandria via LeMat-Bulk).

Unit cell a=8.948 b=8.948 c=3.861 alpha=90.00 beta=90.00 gamma=90.00
Element x y z (fractional)
Rb: 0.000 0.000 0.000
Rb: 0.500 0.500 0.000
Ge: 0.110 0.390 0.000
Ge: 0.390 0.890 0.000
Ge: 0.610 0.110 0.000
Ge: 0.890 0.610 0.000
Bi: 0.156 0.656 0.500
Bi: 0.344 0.156 0.500
Bi: 0.656 0.844 0.500
Bi: 0.844 0.344 0.500

Output
**Energy**: -35.49 eV for the cell shown
**Mass density**: 7.0 g/cm³
**V**: 309.16 Å³/cell
**Symmetry**: P4/mbm (127)
**Size of the total moment**: 0.00 μB/f.u.


# 10
# Be2HgW

Crystalline Be2HgW at its relaxed geometry (GGA-PBE, Alexandria via LeMat-Bulk).

Unit cell a=4.364 b=4.364 c=4.364 alpha=60.00 beta=60.00 gamma=60.00
Element x y z (fractional)
Be: 0.000 0.000 0.000
Be: 0.250 0.250 0.250
Hg: 0.500 0.500 0.500
W: 0.750 0.750 0.750

Output
**Energy**: -16.67 eV for the cell shown
**Mass density**: 11.4 g/cm³
**V**: 58.75 Å³/cell
**Symmetry**: F-43m (216)
**Size of the total moment**: 1.57 μB/f.u.


# 11
# KCaAcI6

Crystalline KCaAcI6 at its relaxed geometry (GGA-PBE, Alexandria via LeMat-Bulk).

Unit cell a=8.278 b=8.278 c=15.476 alpha=90.00 beta=90.00 gamma=120.00
Element x y z (fractional)
K: 0.000 0.000 0.000
K: 0.000 0.000 0.500
Ca: 0.333 0.667 0.250
Ca: 0.667 0.333 0.750
Ac: 0.333 0.667 0.750
Ac: 0.667 0.333 0.250
I: 0.011 0.368 0.131
I: 0.011 0.643 0.369
I: 0.357 0.368 0.369
I: 0.357 0.989 0.131
I: 0.368 0.011 0.631
I: 0.368 0.357 0.869
I: 0.632 0.643 0.131
I: 0.632 0.989 0.369
I: 0.643 0.011 0.869
I: 0.643 0.632 0.631
I: 0.989 0.357 0.631
I: 0.989 0.632 0.869

Output
**Mass density**: 3.9 g/cm³
**V**: 918.55 Å³/cell
**Symmetry**: P-31c (163)
**Size of the total moment**: 0.00 μB/f.u.
**Energy relative to the elements, uncorrected**: -1.56 eV/atom


# 12
# Ba2VI6

Crystalline Ba2VI6 at its relaxed geometry (GGA-PBE, Alexandria via LeMat-Bulk).

Unit cell a=7.712 b=8.781 c=13.374 alpha=90.00 beta=124.65 gamma=90.00
Element x y z (fractional)
Ba: 0.218 0.107 0.255
Ba: 0.218 0.393 0.755
Ba: 0.782 0.607 0.245
Ba: 0.782 0.893 0.745
V: 0.500 0.000 0.000
V: 0.500 0.500 0.500
I: 0.139 0.166 0.951
I: 0.139 0.334 0.451
I: 0.289 0.709 0.951
I: 0.289 0.791 0.451
I: 0.351 0.017 0.751
I: 0.351 0.483 0.251
I: 0.649 0.517 0.749
I: 0.649 0.983 0.249
I: 0.711 0.209 0.549
I: 0.711 0.291 0.049
I: 0.861 0.666 0.549
I: 0.861 0.834 0.049

Output
**Mass density**: 4.8 g/cm³
**V**: 745.09 Å³/cell
**Symmetry**: P2_1/c (14)
**Size of the total moment**: 3.00 μB/f.u.
**Energy relative to the elements, uncorrected**: -1.33 eV/atom


Look up the mass density of the eleventh one.
3.9 g/cm³


What is the mass density in the fifth record?
9.0 g/cm³


V of number 9 (RbGe2Bi2)?
309.16 Å³/cell


Among the records above, which one has the lowest mass density?
KCaAcI6